Below is a relaxed structure of LaIn3Pt, with properties calculated at the GGA-PBE level.

Geometry as extended XYZ:
```
10
Lattice="4.643 0.000 0.000 0.000 7.509 0.000 0.000 0.000 7.345" Properties=species:S:1:pos:R:3 pbc="T T T"
La 1.161 1.877 1.633
La 3.483 5.632 5.712
In 1.161 0.399 4.944
In 1.161 3.356 4.944
In 1.161 5.632 0.698
In 3.483 1.877 6.647
In 3.483 4.153 2.401
In 3.483 7.111 2.401
Pt 1.161 5.632 3.432
Pt 3.483 1.877 3.913
```

Values from the calculation:
Its total DFT energy (no corrections) is -4.37 eV/atom. The value obtained for the size of the total moment is 0.0 μB per formula unit. As for the density: 8.797 g/cm³. Its crystal system is orthorhombic. The value obtained for the excess energy over the best structure of this formula in the dataset is 82 meV per atom. The calculation puts the energy of formation from the pure elements at -536 meV/atom.